Record 1
A relaxed P2OsRh crystal, computed with PBE.

Calculated values
Uncorrected energy: -7.232 eV per atom
Calculated volume: 14.5 Å³ per atom
Space-group type: P2/m
Distance to the lowest polymorph of the same formula: 459 meV/atom
Energy of formation: 0.12 eV per atom

abc: 3.1047 3.8343 4.8572
angles: 90.00 90.29 90.00
Element x y z (fractional)
P: 0.0116 0.0000 0.2802
P: 0.9884 0.0000 0.7198
Os: 0.0000 0.5000 0.0000
Rh: 0.5000 0.5000 0.5000


Record 2
A relaxed P2OsRh crystal, computed with PBE.

Calculated values
Uncorrected energy: -7.432 eV per atom
Calculated volume: 14.2 Å³ per atom
Space-group type: R3m
Distance to the lowest polymorph of the same formula: 258 meV/atom
Energy of formation: -0.08 eV per atom

abc: 7.5038 7.5038 7.5038
angles: 23.05 23.05 23.05
Element x y z (fractional)
P: 0.0000 0.0000 0.0000
P: 0.2488 0.2488 0.2488
Os: 0.7377 0.7377 0.7377
Rh: 0.5129 0.5129 0.5129


Record 3
A relaxed POs2Rh crystal, computed with PBE.

Calculated values
Uncorrected energy: -8.453 eV per atom
Calculated volume: 13.8 Å³ per atom
Space-group type: P4/mmm
Energy of formation: 0.35 eV per atom

abc: 4.3686 4.3686 2.8932
angles: 90.00 90.00 90.00
Element x y z (fractional)
P: 0.0000 0.0000 0.0000
Os: 0.0000 0.5000 0.5000
Os: 0.5000 0.0000 0.5000
Rh: 0.5000 0.5000 0.0000


Record 4
A relaxed POs2Rh crystal, computed with PBE.

Calculated values
Uncorrected energy: -8.326 eV per atom
Calculated volume: 14.3 Å³ per atom
Space-group type: Cmmm
Energy of formation: 0.48 eV per atom

abc: 2.8041 2.8041 8.4228
angles: 90.00 90.00 120.12
Element x y z (fractional)
P: 0.0000 0.0000 0.0000
Os: 0.5000 0.5000 0.2206
Os: 0.5000 0.5000 0.7794
Rh: 0.0000 0.0000 0.5000


Record 5
A relaxed POs2Rh crystal, computed with PBE.

Calculated values
Uncorrected energy: -8.366 eV per atom
Calculated volume: 14.3 Å³ per atom
Space-group type: Cmm2
Energy of formation: 0.44 eV per atom

abc: 2.7802 2.7802 8.5161
angles: 90.00 90.00 119.82
Element x y z (fractional)
P: 0.0000 0.0000 0.0000
Os: 0.0000 0.0000 0.5041
Os: 0.5000 0.5000 0.7759
Rh: 0.5000 0.5000 0.2230


Record 6
A relaxed P3OsRh crystal, computed with PBE.

Calculated values
Uncorrected energy: -6.027 eV per atom
Calculated volume: 18.7 Å³ per atom
Space-group type: Pm-3m
Distance to the lowest polymorph of the same formula: 0 meV/atom
Energy of formation: 0.94 eV per atom

abc: 4.5424 4.5424 4.5424
angles: 90.00 90.00 90.00
Element x y z (fractional)
P: 0.0000 0.0000 0.5000
P: 0.0000 0.5000 0.0000
P: 0.5000 0.0000 0.0000
Os: 0.0000 0.0000 0.0000
Rh: 0.5000 0.5000 0.5000


Record 7
A relaxed POs2Rh crystal, computed with PBE.

Calculated values
Uncorrected energy: -8.800 eV per atom
Calculated volume: 13.8 Å³ per atom
Space-group type: R3m
Energy of formation: 0.01 eV per atom

abc: 8.2712 8.2712 8.2712
angles: 19.48 19.48 19.48
Element x y z (fractional)
P: 0.0000 0.0000 0.0000
Os: 0.2591 0.2591 0.2591
Os: 0.5029 0.5029 0.5029
Rh: 0.7421 0.7421 0.7421


Record 8
A relaxed POs2Rh crystal, computed with PBE.

Calculated values
Uncorrected energy: -8.708 eV per atom
Calculated volume: 13.6 Å³ per atom
Space-group type: Imm2
Energy of formation: 0.10 eV per atom

abc: 5.0664 5.0664 5.0664
angles: 146.67 129.62 61.76
Element x y z (fractional)
P: 0.0000 0.0000 0.0000
Os: 0.2152 0.7152 0.5000
Os: 0.4975 0.4975 0.0000
Rh: 0.7870 0.2870 0.5000